Record 1
Material: InFeTc2
Method: DFT, PBE-GGA
State: optimized geometry

Unit cell a=8.974 b=8.974 c=8.974 alpha=18.15 beta=18.15 gamma=18.15
Fractional positions:
Tc (0.508, 0.508, 0.508)
Tc (0.992, 0.992, 0.992)
In (0.750, 0.750, 0.750)
Fe (0.250, 0.250, 0.250)

Computed properties:
- ΔH_f (0 K): 369 meV/atom
- Calculated volume: 61 Å³/f.u.



Record 2
Material: InFeTc2
Method: DFT, PBE-GGA
State: optimized geometry

Unit cell a=4.962 b=4.962 c=4.962 alpha=134.74 beta=134.74 gamma=65.93
Fractional positions:
Tc (0.000, 0.000, 0.000)
Tc (0.500, 0.500, 0.000)
Fe (0.250, 0.750, 0.500)
In (0.750, 0.250, 0.500)

Computed properties:
- ΔH_f (0 K): 326 meV/atom
- Calculated volume: 61 Å³/f.u.



Record 3
Material: Ti5In2Fe2Tc
Method: DFT, PBE-GGA
State: optimized geometry

Unit cell a=3.095 b=10.277 c=10.277 alpha=90.00 beta=90.00 gamma=90.00
Fractional positions:
Ti (0.500, 0.434, 0.301)
Ti (0.500, 0.500, 0.000)
Ti (0.500, 0.000, 0.500)
Ti (0.500, 0.801, 0.934)
Ti (0.500, 0.066, 0.801)
Ti (0.500, 0.566, 0.699)
Ti (0.500, 0.934, 0.199)
Ti (0.500, 0.301, 0.566)
Ti (0.500, 0.699, 0.434)
Ti (0.500, 0.199, 0.066)
Fe (0.000, 0.872, 0.372)
Fe (0.000, 0.372, 0.128)
Fe (0.000, 0.128, 0.628)
Fe (0.000, 0.628, 0.872)
In (0.000, 0.325, 0.825)
In (0.000, 0.825, 0.675)
In (0.000, 0.175, 0.325)
In (0.000, 0.675, 0.175)
Tc (0.000, 0.000, 0.000)
Tc (0.000, 0.500, 0.500)

Computed properties:
- ΔH_f (0 K): -187 meV/atom
- Calculated volume: 163 Å³/f.u.



Record 4
Material: InFeTe2
Method: DFT, PBE-GGA
State: optimized geometry

Unit cell a=10.321 b=10.321 c=10.321 alpha=18.97 beta=18.97 gamma=18.97
Fractional positions:
In (0.767, 0.767, 0.767)
Te (0.220, 0.220, 0.220)
Te (0.015, 0.015, 0.015)
Fe (0.498, 0.498, 0.498)

Computed properties:
- ΔE_f (raw): 0.14 eV/atom
- Calculated volume: 101 Å³/f.u.



Record 5
Material: InFe2Te
Method: DFT, PBE-GGA
State: optimized geometry

Unit cell a=3.177 b=3.186 c=7.669 alpha=90.00 beta=90.00 gamma=90.00
Fractional positions:
Te (0.500, 0.500, 0.842)
Fe (0.000, 0.000, 0.041)
Fe (0.500, 0.500, 0.199)
In (0.000, 0.000, 0.417)

Computed properties:
- ΔE_f (raw): 0.18 eV/atom
- Energy above the lowest structure with this stoichiometry: 0 meV/atom
- Calculated volume: 78 Å³/f.u.



Record 6
Material: InFeTe
Method: DFT, PBE-GGA
State: optimized geometry

Unit cell a=4.574 b=4.574 c=4.574 alpha=60.00 beta=60.00 gamma=60.00
Fractional positions:
Fe (0.750, 0.750, 0.750)
Te (0.500, 0.500, 0.500)
In (0.000, 0.000, 0.000)

Computed properties:
- ΔE_f (raw): 0.26 eV/atom
- Energy above the lowest structure with this stoichiometry: 82 meV/atom
- Calculated volume: 68 Å³/f.u.



Record 7
Material: InFeTe
Method: DFT, PBE-GGA
State: optimized geometry

Unit cell a=4.456 b=4.456 c=4.340 alpha=90.00 beta=90.00 gamma=120.00
Fractional positions:
Fe (0.000, 0.000, 0.850)
Te (0.333, 0.667, 0.825)
In (0.667, 0.333, 0.325)

Computed properties:
- ΔE_f (raw): 0.28 eV/atom
- Energy above the lowest structure with this stoichiometry: 103 meV/atom
- Calculated volume: 75 Å³/f.u.



Record 8
Material: InFe2Te
Method: DFT, PBE-GGA
State: optimized geometry

Unit cell a=3.238 b=3.237 c=6.420 alpha=90.00 beta=90.00 gamma=90.00
Fractional positions:
In (0.500, 0.500, 0.250)
Fe (0.000, 0.000, 0.987)
Fe (0.000, 0.000, 0.513)
Te (0.500, 0.500, 0.750)

Computed properties:
- ΔE_f (raw): 0.42 eV/atom
- Energy above the lowest structure with this stoichiometry: 240 meV/atom
- Calculated volume: 67 Å³/f.u.



no.,total magnetization (μB per cell),calculated density (g/cm3)
1,1.6,9.94
2,0.9,10.03
3,0.4,6.90
4,2.4,6.97
5,4.7,7.57
6,2.2,7.32
7,2.9,6.64
8,3.9,8.74